Entry 1:
VASP calculation (PBE-GGA) on crystalline Si5P3 at its relaxed geometry.

Geometry as POSCAR:
```
Si5P3
1.0
-0.704 5.832 8.896
2.003 -2.372 5.647
2.896 7.635 3.648
P Si
6 10
Direct
0.557 0.537 0.459
0.862 0.140 0.102
0.068 0.525 0.785
0.578 0.915 0.622
0.894 0.977 0.667
0.566 0.633 0.024
0.163 0.342 0.305
0.582 0.956 0.868
0.051 0.667 0.195
0.980 0.273 0.781
0.424 0.863 0.362
0.330 0.385 0.759
0.278 0.506 0.377
0.838 0.300 0.522
0.143 0.964 0.078
0.692 0.010 0.092
```

Entry 2:
VASP calculation (PBE-GGA) on crystalline Sm8SiP5 at its relaxed geometry.

Geometry as POSCAR:
```
Sm8SiP5
1.0
-4.638 4.898 3.439
-3.121 -6.898 0.081
6.638 -0.201 3.637
Sm Si P
8 1 5
Direct
0.125 0.756 0.009
0.991 0.117 0.747
0.755 0.250 0.375
0.625 0.380 0.875
0.495 0.620 0.245
0.631 0.883 0.875
0.253 0.244 0.369
0.125 0.750 0.505
0.250 0.500 0.750
0.002 0.378 0.127
0.873 0.875 0.251
0.749 0.622 0.624
0.500 0.000 0.500
0.376 0.125 0.998
```

Entry 3:
VASP calculation (PBE-GGA) on crystalline Sm6SiTe3P2 at its relaxed geometry.

Geometry as POSCAR:
```
Sm6SiTe3P2
1.0
-1.225 4.044 -0.359
-8.050 -2.627 -2.118
0.624 -1.181 9.617
Sm Si Te P
6 1 3 2
Direct
0.341 0.897 0.681
0.675 0.564 0.350
0.659 0.103 0.319
0.008 0.234 0.015
0.992 0.766 0.985
0.325 0.436 0.650
0.500 0.000 0.000
0.500 0.500 0.000
0.833 0.167 0.666
0.167 0.833 0.334
0.832 0.665 0.665
0.168 0.335 0.335
```

Going through the records in order, we get N(E_F) values of 0.192, 0.869, 0.349 states/eV/atom.
Going through the records in order, we get ΔE_f (raw) values of 0.19, -1.21, -1.43 eV/atom.